AlZnPt5 | PBE | relaxed

Summary:
Final energy: -38.32 eV per cell
Energy above the lowest structure with this stoichiometry: 0.0000 eV/atom
ΔH_f (0 K): -443 meV/atom

a b c (Å): 3.9437 3.9437 7.1771
angles (deg): 90.00 90.00 90.00
With the nearest neighbours (Å) after each atom.
Space group P4/mmm (No. 123)
One atom of each set of equivalent atoms:
Al  0.0000  0.0000  0.0000 (multiplicity 1)  8 Pt 2.54
Zn  0.5000  0.5000  0.5000 (multiplicity 1)  12 Pt 2.79-2.80
Pt  0.0000  0.0000  0.5000 (multiplicity 1)  4 Zn 2.79, 8 Pt 2.80
Pt  0.0000  0.5000  0.2226 (multiplicity 4)  2 Al 2.54, 6 Pt 2.79-2.80, 2 Zn 2.80